{"formula": "PdI2N2", "functional": "PBE", "state": "relaxed", "cell": [[-2.939, 3.037, -0.043], [-2.629, -2.573, -2.080], [-2.641, -2.466, 6.388]], "species": ["I", "I", "Pd", "N", "N"], "frac_coords": [[0.500, 0.500, 0.500], [0.000, 0.000, 0.500], [0.000, 0.000, 0.000], [0.000, 0.500, 0.000], [0.500, 0.000, 0.000]], "dos_at_fermi_per_ev_cell": 2.9, "de_polymorph_ev_per_fu": 7.96, "density_g_cm3": 4.9, "e_form_raw_mev_per_atom": 1554, "spacegroup": "P4/mmm (123)", "total_magnetization_mub_per_fu": 4.0}


{"formula": "BeNi2Br", "functional": "PBE", "state": "relaxed", "cell": [[2.842, 0.000, 0.000], [0.000, 2.847, 0.000], [0.000, 0.000, 6.448]], "species": ["Ni", "Ni", "Br", "Be"], "frac_coords": [[0.000, 0.000, 0.063], [0.000, 0.000, 0.437], [0.500, 0.500, 0.750], [0.500, 0.500, 0.250]], "dos_at_fermi_per_ev_cell": 2.0, "de_polymorph_ev_per_fu": 0.57, "density_g_cm3": 6.6, "e_form_raw_mev_per_atom": 277, "spacegroup": "P4/mmm (123)", "total_magnetization_mub_per_fu": 0.0}


{"formula": "ZrBe2Ru", "functional": "PBE", "state": "relaxed", "cell": [[-1.360, 2.217, -1.534], [-2.636, -0.664, 1.378], [-1.374, 3.006, 5.561]], "species": ["Ru", "Zr", "Be", "Be"], "frac_coords": [[0.500, 0.250, 0.250], [0.500, 0.750, 0.750], [0.000, 0.936, 0.064], [0.000, 0.564, 0.436]], "dos_at_fermi_per_ev_cell": 2.4, "de_polymorph_ev_per_fu": 0.35, "density_g_cm3": 6.7, "spacegroup": "Pmmm (47)", "total_magnetization_mub_per_fu": 0.0, "ef_kj_per_mol_fu": -105}


{"formula": "ZrCr2Ga2", "functional": "PBE", "state": "relaxed", "cell": [[4.154, 0.000, 0.000], [0.000, 4.154, 0.000], [2.077, 2.077, 4.726]], "species": ["Cr", "Cr", "Ga", "Ga", "Zr"], "frac_coords": [[0.402, 0.402, 0.197], [0.598, 0.598, 0.803], [0.750, 0.250, 0.500], [0.250, 0.750, 0.500], [0.000, 0.000, 0.000]], "dos_at_fermi_per_ev_cell": 3.5, "de_polymorph_ev_per_fu": 0.18, "density_g_cm3": 6.8, "spacegroup": "I4/mmm (139)", "total_magnetization_mub_per_fu": 0.0, "ef_kj_per_mol_fu": 16}